(1)
# InCo2Os

An optimized crystal structure of InCo2Os (PBE, Alexandria via LeMat-Bulk).

DFT formation energy	310	meV/atom
space group	Cm

Lattice parameters (Å, degrees): 4.599 4.599 4.674 79.18 79.18 34.83
Site moments in Bohr magnetons follow the coordinates.
Atoms (fractional coordinates):
Co: 0.000 0.000 0.021  0.09
Co: 0.740 0.740 0.761  0.31
In: 0.497 0.497 0.526  -0.01
Os: 0.262 0.262 0.192  0.01

(2)
# CePmInGe

An optimized crystal structure of CePmInGe (PBE, Alexandria via LeMat-Bulk).

DFT formation energy	-448	meV/atom
space group	F-43m

Lattice parameters (Å, degrees): 5.316 5.316 5.316 60.00 60.00 60.00
Site moments in Bohr magnetons follow the coordinates.
Atoms (fractional coordinates):
Ge: 0.000 0.000 0.000  0.01
In: 0.500 0.500 0.500  0.02
Ce: 0.750 0.750 0.750  0.86
Pm: 0.250 0.250 0.250  0.09

(3)
# Al5PdRh4

An optimized crystal structure of Al5PdRh4 (PBE, Alexandria via LeMat-Bulk).

DFT formation energy	-1040	meV/atom
space group	P4/mmm

Lattice parameters (Å, degrees): 2.976 2.976 15.528 90.00 90.00 90.00
Atoms (fractional coordinates):
Al: 0.500 0.500 0.106
Al: 0.500 0.500 0.303
Al: 0.500 0.500 0.500
Al: 0.500 0.500 0.697
Al: 0.500 0.500 0.894
Pd: 0.000 0.000 0.000
Rh: 0.000 0.000 0.205
Rh: 0.000 0.000 0.402
Rh: 0.000 0.000 0.598
Rh: 0.000 0.000 0.795

Record order is preserved below.
DOS(E_F): 1.205; 1.960; 0.255 states/eV per atom